CsMnGeO4 | PBE with a Hubbard U | relaxed

Output
**Magnetization**: 8.0 μB/cell
**Raw total energy**: -87.46 eV/cell
**DOS at the Fermi energy**: 0.4 states/eV/f.u.

Unit cell a=5.449 b=5.715 c=9.605 alpha=90.00 beta=125.04 gamma=90.00
Sites, in units of the cell vectors:
Ge1 0.814 0.250 0.637
O1 0.954 0.519 0.351
Cs1 0.626 0.750 0.886
O2 0.452 0.250 0.437
Ge2 0.186 0.750 0.363
O3 0.655 0.250 0.756
Cs2 0.374 0.250 0.114
O4 0.046 0.019 0.649
O5 0.345 0.750 0.244
O6 0.046 0.481 0.649
O7 0.548 0.750 0.563
O8 0.954 0.981 0.351
Mn1 0.774 0.750 0.467
Mn2 0.226 0.250 0.533